A relaxed Sc5Tl crystal. Source: Alexandria via LeMat-Bulk, functional PBEsol.

a = 5.0814 Å, b = 5.5846 Å, c = 5.5846 Å
α = 120.00°, β = 90.00°, γ = 90.00°
With the nearest neighbours (Å) after each atom.
Element x y z (fractional)
Sc: 0.0000 0.3209 0.3209  10 Sc 3.10-3.29, 2 Tl 3.11
Sc: 0.0000 0.6791 0.0000  10 Sc 3.10-3.29, 2 Tl 3.11
Sc: 0.0000 0.0000 0.6791  10 Sc 3.10-3.29, 2 Tl 3.11
Sc: 0.5000 0.3333 0.6667  9 Sc 3.17-3.22, 3 Tl 3.22
Sc: 0.5000 0.6667 0.3333  9 Sc 3.17-3.22, 3 Tl 3.22
Tl: 0.5000 0.0000 0.0000  12 Sc 3.11-3.22

Summary:
Relative energy among the computed polymorphs: 0.069 eV/atom
E_tot: -36.205 eV for the cell shown
ΔH_f (0 K): -0.5 eV per formula unit

=====

A relaxed TmAlCu4 crystal. Source: Alexandria via LeMat-Bulk, functional PBEsol.

a = 3.9985 Å, b = 5.0314 Å, c = 5.0314 Å
α = 120.00°, β = 90.00°, γ = 90.00°
With the nearest neighbours (Å) after each atom.
Element x y z (fractional)
Tm: 0.0000 0.0000 0.0000  3 Al 2.90, 15 Cu 2.90-3.21
Al: 0.0000 0.6667 0.3333  6 Cu 2.48
Cu: 0.0000 0.3333 0.6667  6 Cu 2.47
Cu: 0.5000 0.0019 0.5009  6 Cu 2.47-2.53, 2 Al 2.48
Cu: 0.5000 0.4991 0.9981  6 Cu 2.47-2.53, 2 Al 2.48
Cu: 0.5000 0.4991 0.5009  6 Cu 2.47-2.53, 2 Al 2.48

Summary:
E_tot: -27.798 eV for the cell shown
ΔH_f (0 K): -1.5 eV per formula unit

=====

A relaxed I crystal. Source: Alexandria via LeMat-Bulk, functional PBEsol.

a = 4.2565 Å, b = 4.2565 Å, c = 8.4422 Å
α = 90.00°, β = 90.00°, γ = 120.00°
With the nearest neighbours (Å) after each atom.
Element x y z (fractional)
I: 0.0000 0.9054 0.8333  2 I 2.90
I: 0.9054 0.0000 0.5000  2 I 2.90
I: 0.0946 0.0946 0.1667  2 I 2.90

Summary:
Relative energy among the computed polymorphs: 0.109 eV/atom
Uncorrected formation energy: 0.109 eV/atom
E_tot: -4.975 eV for the cell shown

=====

A relaxed AgAu3S crystal. Source: Alexandria via LeMat-Bulk, functional PBEsol.

a = 4.9215 Å, b = 4.9215 Å, c = 4.9215 Å
α = 90.00°, β = 90.00°, γ = 90.00°
With the nearest neighbours (Å) after each atom.
Element x y z (fractional)
S: 0.5000 0.5000 0.5000  12 Au 3.48
Au: 0.0000 0.5000 0.0000  2 Ag 2.46
Au: 0.0000 0.0000 0.5000  2 Ag 2.46
Au: 0.5000 0.0000 0.0000  2 Ag 2.46
Ag: 0.0000 0.0000 0.0000  6 Au 2.46

Summary:
Relative energy among the computed polymorphs: 0.653 eV/atom
Uncorrected formation energy: 1.250 eV/atom
E_tot: -13.219 eV for the cell shown

=====

A relaxed CaScZn4 crystal. Source: Alexandria via LeMat-Bulk, functional PBEsol.

a = 5.2885 Å, b = 5.2885 Å, c = 5.2885 Å
α = 60.00°, β = 60.00°, γ = 60.00°
With the nearest neighbours (Å) after each atom.
Element x y z (fractional)
Sc: 0.0000 0.0000 0.0000  12 Zn 3.10, 4 Ca 3.24
Zn: 0.3741 0.3741 0.3741  6 Zn 2.63-2.66
Zn: 0.3741 0.3741 0.8777  6 Zn 2.63-2.66
Zn: 0.8777 0.3741 0.3741  6 Zn 2.63-2.66
Zn: 0.3741 0.8777 0.3741  6 Zn 2.63-2.66
Ca: 0.7500 0.7500 0.7500  12 Zn 3.10, 4 Sc 3.24

Summary:
E_tot: -16.757 eV for the cell shown
ΔH_f (0 K): -1.7 eV per formula unit

=====

A relaxed Ti3In4 crystal. Source: Alexandria via LeMat-Bulk, functional PBEsol.

a = 2.9323 Å, b = 9.8120 Å, c = 9.8120 Å
α = 90.00°, β = 90.00°, γ = 90.00°
With the nearest neighbours (Å) after each atom.
Element x y z (fractional)
Ti: 0.5000 0.1764 0.3236  4 Ti 2.85-2.93, 8 In 2.96-2.99
Ti: 0.5000 0.3236 0.8236  4 Ti 2.85-2.93, 8 In 2.96-2.99
Ti: 0.5000 0.6764 0.1764  4 Ti 2.85-2.93, 8 In 2.96-2.99
Ti: 0.0000 0.5000 0.0000  6 Ti 2.85-2.93, 4 In 2.90
Ti: 0.5000 0.8236 0.6764  4 Ti 2.85-2.93, 8 In 2.96-2.99
Ti: 0.0000 0.0000 0.5000  6 Ti 2.85-2.93, 4 In 2.90
In: 0.0000 0.4402 0.2889  5 Ti 2.90-2.99, 5 In 2.93-3.18
In: 0.0000 0.7889 0.9402  5 Ti 2.90-2.99, 5 In 2.93-3.18
In: 0.0000 0.0598 0.7889  5 Ti 2.90-2.99, 5 In 2.93-3.18
In: 0.0000 0.2889 0.5598  5 Ti 2.90-2.99, 5 In 2.93-3.18
In: 0.0000 0.5598 0.7111  5 Ti 2.90-2.99, 5 In 2.93-3.18
In: 0.0000 0.7111 0.4402  5 Ti 2.90-2.99, 5 In 2.93-3.18
In: 0.0000 0.2111 0.0598  5 Ti 2.90-2.99, 5 In 2.93-3.18
In: 0.0000 0.9402 0.2111  5 Ti 2.90-2.99, 5 In 2.93-3.18

Summary:
E_tot: -74.961 eV for the cell shown
ΔH_f (0 K): -0.6 eV per formula unit

=====

A relaxed Li6Co3NiP6O24 crystal. Source: Alexandria via LeMat-Bulk, functional PBEsol.

a = 8.6484 Å, b = 8.7185 Å, c = 8.7447 Å
α = 55.80°, β = 55.83°, γ = 56.30°
With the nearest neighbours (Å) after each atom.
Element x y z (fractional)
Ni: 0.1486 0.1634 0.1396  6 O 1.91-2.07
Co: 0.8514 0.8575 0.8358  6 O 1.84-1.92
Co: 0.6381 0.6558 0.6359  6 O 1.84-1.93
Co: 0.3593 0.3724 0.3377  6 O 1.86-2.04
P: 0.9561 0.5543 0.2388  4 O 1.52-1.56
P: 0.5386 0.2537 0.9526  4 O 1.53-1.56
P: 0.2462 0.9722 0.5311  4 O 1.52-1.56
P: 0.7571 0.0410 0.4557  4 O 1.54-1.56
P: 0.4715 0.7617 0.0120  4 O 1.53-1.57
P: 0.0281 0.4813 0.7420  4 O 1.52-1.59
O: 0.8775 0.5242 0.6718  1 P 1.52
O: 0.6722 0.9023 0.4927  1 P 1.54
O: 0.9890 0.6915 0.0185  1 P 1.55
O: 0.4834 0.6933 0.8762  1 P 1.54
O: 0.7531 0.6608 0.3709  1 P 1.55
O: 0.9426 0.3593 0.2874  1 P 1.56
O: 0.6766 0.0356 0.9737  1 P 1.55
O: 0.6272 0.3979 0.7430  1 P 1.56
O: 0.3827 0.7590 0.6189  1 P 1.55
O: 0.7228 0.0349 0.6537  1 P 1.56
O: 0.9771 0.9983 0.3134  1 P 1.54
O: 0.6848 0.7136 0.9905  1 P 1.57
O: 0.3274 0.3082 0.9670  1 P 1.56
O: 0.0252 0.0043 0.6722  1 P 1.55
O: 0.2841 0.9848 0.3287  1 P 1.56
O: 0.6252 0.2528 0.3668  1 P 1.54
O: 0.3895 0.6276 0.2293  1 P 1.55
O: 0.3357 0.9786 0.9787  1 P 1.53
O: 0.0400 0.6773 0.7014  1 P 1.59
O: 0.2387 0.3903 0.6076  1 P 1.54
O: 0.5320 0.2690 0.1223  1 P 1.53
O: 0.9923 0.3388 0.9606  1 P 1.54
O: 0.2984 0.1235 0.5134  1 P 1.52
O: 0.1297 0.5112 0.2779  1 P 1.52
Li: 0.6623 0.9511 0.2418  4 O 1.97-2.15
Li: 0.2340 0.5876 0.8230  4 O 1.90-2.04
Li: 0.8181 0.2432 0.5758  4 O 1.93-2.02
Li: 0.7582 0.4368 0.1656  4 O 1.90-2.01
Li: 0.3305 0.1086 0.7238  3 O 1.86-1.93
Li: 0.1947 0.7716 0.4032  4 O 1.91-2.04

Summary:
Uncorrected formation energy: -1.907 eV/atom
E_tot: -278.178 eV for the cell shown

=====

A relaxed ZnPdN2O crystal. Source: Alexandria via LeMat-Bulk, functional PBEsol.

a = 3.7605 Å, b = 3.7605 Å, c = 4.1418 Å
α = 90.00°, β = 90.00°, γ = 90.00°
With the nearest neighbours (Å) after each atom.
Element x y z (fractional)
Zn: 0.5000 0.5000 0.5000  4 O 2.66, 8 N 2.80
O: 0.0000 0.0000 0.5000  2 Pd 2.07
Pd: 0.0000 0.0000 0.0000  4 N 1.88, 2 O 2.07
N: 0.0000 0.5000 0.0000  2 Pd 1.88
N: 0.5000 0.0000 0.0000  2 Pd 1.88

Summary:
Uncorrected formation energy: 1.211 eV/atom
E_tot: -23.788 eV for the cell shown

=====

A relaxed IrPt3 crystal. Source: Alexandria via LeMat-Bulk, functional PBEsol.

a = 2.7652 Å, b = 3.8746 Å, c = 5.5062 Å
α = 90.00°, β = 90.00°, γ = 90.00°
With the nearest neighbours (Å) after each atom.
Element x y z (fractional)
Ir: 0.0000 0.0000 0.0000  10 Pt 2.74-2.75, 2 Ir 2.77
Pt: 0.0000 0.0000 0.5000  2 Ir 2.75, 10 Pt 2.76-2.77
Pt: 0.5000 0.5000 0.2448  8 Pt 2.70-2.81, 4 Ir 2.74
Pt: 0.5000 0.5000 0.7552  8 Pt 2.70-2.81, 4 Ir 2.74

Summary:
E_tot: -30.487 eV for the cell shown
ΔH_f (0 K): 0.2 eV per formula unit

=====

A relaxed MgMoH2O5 crystal. Source: Alexandria via LeMat-Bulk, functional PBEsol.

a = 5.6507 Å, b = 5.7742 Å, c = 6.8950 Å
α = 100.24°, β = 95.45°, γ = 105.94°
With the nearest neighbours (Å) after each atom.
Element x y z (fractional)
Mg: 0.6426 0.7070 0.1943  6 O 2.04-2.14
Mg: 0.3574 0.2930 0.8057  6 O 2.04-2.14
Mo: 0.7498 0.8811 0.7497  4 O 1.73-1.79
Mo: 0.2502 0.1189 0.2503  4 O 1.73-1.79
H: 0.0818 0.6029 0.1890  1 O 0.99
H: 0.9182 0.3971 0.8110  1 O 0.99
H: 0.8785 0.3485 0.1941  1 O 0.99
H: 0.1215 0.6515 0.8059  1 O 0.99
O: 0.3835 0.3573 0.1236  1 Mo 1.79
O: 0.6165 0.6427 0.8764  1 Mo 1.79
O: 0.3497 0.8569 0.1772  1 Mo 1.76, 1 H 1.82
O: 0.6503 0.1431 0.8228  1 Mo 1.76, 1 H 1.82
O: 0.3470 0.2299 0.5038  1 Mo 1.73
O: 0.6530 0.7701 0.4962  1 Mo 1.73
O: 0.9198 0.0350 0.2024  1 Mo 1.78, 1 H 1.90
O: 0.0802 0.9650 0.7976  1 Mo 1.78, 1 H 1.90
O: 0.0891 0.4709 0.7842  2 H 0.99
O: 0.9109 0.5291 0.2158  2 H 0.99

Summary:
E_tot: -126.845 eV for the cell shown

=====

A relaxed KLi6IrO6 crystal. Source: Alexandria via LeMat-Bulk, functional PBEsol.

a = 5.2704 Å, b = 5.2704 Å, c = 5.2704 Å
α = 101.34°, β = 101.34°, γ = 101.34°
With the nearest neighbours (Å) after each atom.
Element x y z (fractional)
K: 0.5000 0.5000 0.5000  12 O 2.94-3.05, 12 Li 2.95
Ir: 0.0000 0.0000 0.0000  6 O 2.00
O: 0.7248 0.7248 0.0770  4 Li 1.92-1.94, 1 Ir 2.00
O: 0.7248 0.0770 0.7248  4 Li 1.92-1.94, 1 Ir 2.00
O: 0.2752 0.2752 0.9230  4 Li 1.92-1.94, 1 Ir 2.00
O: 0.2752 0.9230 0.2752  4 Li 1.92-1.94, 1 Ir 2.00
O: 0.9230 0.2752 0.2752  4 Li 1.92-1.94, 1 Ir 2.00
O: 0.0770 0.7248 0.7248  4 Li 1.92-1.94, 1 Ir 2.00
Li: 0.3385 0.6615 0.0000  4 O 1.92-1.94
Li: 0.0000 0.3385 0.6615  4 O 1.92-1.94
Li: 0.3385 0.0000 0.6615  4 O 1.92-1.94
Li: 0.0000 0.6615 0.3385  4 O 1.92-1.94
Li: 0.6615 0.3385 0.0000  4 O 1.92-1.94
Li: 0.6615 0.0000 0.3385  4 O 1.92-1.94

Summary:
Uncorrected formation energy: -1.610 eV/atom
E_tot: -76.788 eV for the cell shown

=====

A relaxed ReNiAg2S crystal. Source: Alexandria via LeMat-Bulk, functional PBEsol.

a = 3.9871 Å, b = 4.6211 Å, c = 4.6211 Å
α = 90.00°, β = 90.00°, γ = 90.00°
With the nearest neighbours (Å) after each atom.
Element x y z (fractional)
Re: 0.5000 0.5000 0.5000  8 Ag 3.05, 4 Ni 3.27
S: 0.0000 0.0000 0.0000  2 Ni 1.99
Ag: 0.0000 0.0000 0.5000  2 S 2.31
Ag: 0.0000 0.5000 0.0000  2 S 2.31
Ni: 0.5000 0.0000 0.0000  2 S 1.99

Summary:
Uncorrected formation energy: 1.225 eV/atom
E_tot: -24.369 eV for the cell shown